Record 1
Density functional theory data (GGA-PBE) for an optimized crystal structure of Cu2TcIr.

Summary:
* energy above the lowest structure with this stoichiometry: 257 meV per atom
* size of the total moment: 1.0 Bohr magnetons per cell
* volume: 13.487 Å³/atom
* formation enthalpy at 0 K: 1.16 eV per formula unit
* space-group type: I4/mmm (139)

abc: 4.6910 4.6910 4.6910
angles: 133.16 133.16 68.40
Sites, in units of the cell vectors:
Cu 0.2500 0.7500 0.5000
Cu 0.7500 0.2500 0.5000
Tc 0.0000 0.0000 0.0000
Ir 0.5000 0.5000 0.0000

Record 2
Density functional theory data (GGA-PBE) for an optimized crystal structure of La2Ga3Si.

Summary:
* size of the total moment: 0.0 Bohr magnetons per cell
* volume: 23.243 Å³/atom
* space-group type: Fmmm (69)
* formation energy without anion corrections: -70.4 kJ/mol of atoms

abc: 8.6039 8.5090 6.1560
angles: 69.74 68.09 42.16
Sites, in units of the cell vectors:
La 0.2468 0.7532 0.2468
La 0.2500 0.2500 0.2500
La 0.7500 0.7500 0.7500
La 0.7532 0.2468 0.7532
Ga 0.1646 0.6670 0.8354
Ga 0.3322 0.3322 0.6678
Ga 0.3330 0.8354 0.6670
Ga 0.6670 0.1646 0.3330
Ga 0.6678 0.6678 0.3322
Ga 0.8354 0.3330 0.1646
Si 0.1668 0.1668 0.8332
Si 0.8332 0.8332 0.1668

Q: Among the records above, which one has the highest size of the total moment?
A: Cu2TcIr